1.
Material: ZrFeSe
Method: DFT, GGA-PBEsol
State: relaxed

Properties
Formation energy (no corrections): -0.35 eV per atom
SG: I4mm, No. 107
DFT total energy: -7.65 eV per atom
N(E_F): 2.462 states/eV/cell

Unit cell a=3.238 b=3.238 c=5.153 alpha=108.31 beta=108.31 gamma=90.00
Each line ends with the local moment (μB).
Element x y z (fractional)
Fe 0.016 0.016 0.032  2.23
Se 0.644 0.644 0.288  0.09
Zr 0.340 0.340 0.680  -0.08

2.
Material: Fe2Si
Method: DFT, GGA-PBEsol
State: relaxed

Properties
Formation energy (no corrections): -0.39 eV per atom
SG: Cmcm, No. 63
DFT total energy: -8.28 eV per atom
N(E_F): 5.966 states/eV/cell

Unit cell a=2.749 b=3.843 c=6.063 alpha=90.00 beta=103.10 gamma=90.00
Each line ends with the local moment (μB).
Element x y z (fractional)
Si 0.916 0.250 0.832  -0.03
Fe 0.748 0.750 0.496  1.88
Fe 0.581 0.250 0.161  0.44
Fe 0.419 0.750 0.839  0.44
Si 0.084 0.750 0.168  -0.03
Fe 0.252 0.250 0.504  1.88

3.
Material: FeSi2
Method: DFT, GGA-PBEsol
State: relaxed

Properties
Formation energy (no corrections): -0.51 eV per atom
SG: P4/mmm, No. 123
DFT total energy: -7.32 eV per atom
N(E_F): 0.947 states/eV/cell

Unit cell a=2.676 b=2.676 c=5.103 alpha=90.00 beta=90.00 gamma=90.00
Element x y z (fractional)
Si 0.500 0.500 0.272
Si 0.500 0.500 0.728
Fe 0.000 0.000 0.000

4.
Material: Fe2Si
Method: DFT, GGA-PBEsol
State: relaxed

Properties
Formation energy (no corrections): -0.27 eV per atom
SG: I4/mcm, No. 140
DFT total energy: -8.17 eV per atom
N(E_F): 5.886 states/eV/cell

Unit cell a=4.440 b=4.440 c=4.440 alpha=106.24 beta=106.24 gamma=116.14
Each line ends with the local moment (μB).
Element x y z (fractional)
Fe 0.345 0.845 0.190  1.80
Si 0.250 0.250 0.000  -0.08
Fe 0.155 0.345 0.500  1.80
Fe 0.655 0.155 0.810  1.80
Si 0.750 0.750 0.000  -0.08
Fe 0.845 0.655 0.500  1.80

5.
Material: FeSi2
Method: DFT, GGA-PBEsol
State: relaxed

Properties
Formation energy (no corrections): -0.24 eV per atom
SG: P4_2/mnm, No. 136
DFT total energy: -7.06 eV per atom

Unit cell a=2.771 b=5.572 c=5.572 alpha=90.00 beta=90.00 gamma=90.00
Element x y z (fractional)
Si 0.000 0.279 0.721
Si 0.500 0.221 0.221
Fe 0.000 0.000 0.000
Si 0.500 0.779 0.779
Si 0.000 0.721 0.279
Fe 0.500 0.500 0.500

6.
Material: Fe4Si
Method: DFT, GGA-PBEsol
State: relaxed

Properties
Formation energy (no corrections): -0.20 eV per atom
SG: I4/m, No. 87
DFT total energy: -8.52 eV per atom
N(E_F): 6.342 states/eV/cell

Unit cell a=3.461 b=4.217 c=4.217 alpha=80.31 beta=65.77 gamma=65.77
Each line ends with the local moment (μB).
Element x y z (fractional)
Si 0.000 0.000 0.000  -0.04
Fe 0.803 0.598 0.797  0.94
Fe 0.197 0.402 0.203  0.94
Fe 0.599 0.203 0.598  0.94
Fe 0.401 0.797 0.402  0.94

7.
Material: FeSi2
Method: DFT, GGA-PBEsol
State: relaxed

Properties
Formation energy (no corrections): 0.46 eV per atom
SG: Fd-3m, No. 227
DFT total energy: -6.36 eV per atom
N(E_F): 4.371 states/eV/cell

Unit cell a=4.742 b=4.742 c=4.742 alpha=60.00 beta=60.00 gamma=60.00
Each line ends with the local moment (μB).
Element x y z (fractional)
Si 0.125 0.125 0.625  0.02
Si 0.125 0.125 0.125  0.02
Fe 0.500 0.500 0.500  2.22
Si 0.625 0.125 0.125  0.02
Fe 0.750 0.750 0.750  2.22
Si 0.125 0.625 0.125  0.02

8.
Material: FeSi2
Method: DFT, GGA-PBEsol
State: relaxed

Properties
Formation energy (no corrections): 0.19 eV per atom
SG: P6/mmm, No. 191
DFT total energy: -6.63 eV per atom
N(E_F): 1.646 states/eV/cell

Unit cell a=2.461 b=4.199 c=4.199 alpha=120.00 beta=90.00 gamma=90.00
Each line ends with the local moment (μB).
Element x y z (fractional)
Si 0.500 0.333 0.667  0.04
Fe 0.000 0.000 0.000  2.23
Si 0.500 0.667 0.333  0.04